(1)
Material: Li2CdFe
Method: DFT, PBE-GGA
State: relaxed

Lattice parameters (Å, degrees): 2.875 4.694 4.726 90.00 90.00 90.00
Positions (direct):
Li (0.000, 0.000, 0.000)
Li (0.500, 0.500, 0.000)
Cd (0.000, 0.500, 0.500)
Fe (0.500, 0.000, 0.500)

Summary:
- Space-group type: Pmmm
- D(E_F): 3.73 states/eV/cell
- Magnetization: 2.28 Bohr magnetons per cell
- ΔH_f (0 K): 0.185 eV per atom
- Calculated density: 4.743 Mg/m³

(2)
Material: MgIn3O
Method: DFT, PBE-GGA
State: relaxed

Lattice parameters (Å, degrees): 5.377 5.377 5.377 90.00 90.00 90.00
Positions (direct):
Mg (0.000, 0.000, 0.000)
In (0.000, 0.000, 0.500)
In (0.000, 0.500, 0.000)
In (0.500, 0.000, 0.000)
O (0.500, 0.500, 0.500)

Summary:
- Space-group type: Pm-3m
- E_form (uncorrected): 0.665 eV/atom
- Energy above the lowest structure with this stoichiometry: 870 meV per atom
- D(E_F): 2.70 states/eV/cell
- Magnetization: 0.00 Bohr magnetons per cell
- Calculated density: 4.110 Mg/m³

(3)
Material: LiZn2Cd4Ag
Method: DFT, PBE-GGA
State: relaxed

Lattice parameters (Å, degrees): 4.279 4.279 9.501 90.00 90.00 90.00
Positions (direct):
Li (0.000, 0.000, 0.000)
Zn (0.500, 0.500, 0.376)
Zn (0.500, 0.500, 0.624)
Cd (0.000, 0.500, 0.189)
Cd (0.000, 0.500, 0.811)
Cd (0.500, 0.000, 0.189)
Cd (0.500, 0.000, 0.811)
Ag (0.000, 0.000, 0.500)

Summary:
- Space-group type: P4/mmm
- D(E_F): 1.94 states/eV/cell
- Magnetization: 0.00 Bohr magnetons per cell
- ΔH_f (0 K): 0.137 eV per atom
- Calculated density: 6.636 Mg/m³

(4)
Material: CaSmH2
Method: DFT, PBE-GGA
State: relaxed

Lattice parameters (Å, degrees): 6.673 6.673 6.673 32.58 32.58 32.58
Positions (direct):
Ca (0.000, 0.000, 0.000)
Sm (0.184, 0.184, 0.184)
H (0.582, 0.582, 0.582)
H (0.827, 0.827, 0.827)

Summary:
- Space-group type: R3m
- Energy above the lowest structure with this stoichiometry: 26 meV per atom
- D(E_F): 1.13 states/eV/cell
- Magnetization: 0.74 Bohr magnetons per cell
- Calculated density: 4.172 Mg/m³

(5)
Material: Hg2GePb
Method: DFT, PBE-GGA
State: relaxed

Lattice parameters (Å, degrees): 10.769 10.769 10.769 18.15 18.15 18.15
Positions (direct):
Hg (0.095, 0.095, 0.095)
Hg (0.905, 0.905, 0.905)
Ge (0.500, 0.500, 0.500)
Pb (0.000, 0.000, 0.000)

Summary:
- Space-group type: R-3m
- Energy above the lowest structure with this stoichiometry: 10 meV per atom
- D(E_F): 1.97 states/eV/cell
- Magnetization: 0.00 Bohr magnetons per cell
- ΔH_f (0 K): 0.187 eV per atom
- Calculated density: 10.688 Mg/m³

(6)
Material: Sc4HgPt3
Method: DFT, PBE-GGA
State: relaxed

Lattice parameters (Å, degrees): 8.226 8.226 8.226 33.48 33.48 33.48
Positions (direct):
Sc (0.120, 0.120, 0.120)
Sc (0.371, 0.371, 0.371)
Sc (0.629, 0.629, 0.629)
Sc (0.880, 0.880, 0.880)
Hg (0.500, 0.500, 0.500)
Pt (0.000, 0.000, 0.000)
Pt (0.247, 0.247, 0.247)
Pt (0.753, 0.753, 0.753)

Summary:
- Space-group type: R-3m
- D(E_F): 6.64 states/eV/cell
- Magnetization: 0.00 Bohr magnetons per cell
- ΔH_f (0 K): -1.018 eV per atom
- Calculated density: 10.626 Mg/m³

(7)
Material: TaMo2As
Method: DFT, PBE-GGA
State: relaxed

Lattice parameters (Å, degrees): 2.895 2.895 8.379 90.00 90.00 109.92
Positions (direct):
Ta (0.000, 0.000, 0.000)
Mo (0.000, 0.000, 0.511)
Mo (0.500, 0.500, 0.260)
As (0.500, 0.500, 0.753)

Summary:
- Space-group type: Cmm2
- D(E_F): 3.31 states/eV/cell
- Magnetization: 0.00 Bohr magnetons per cell
- ΔH_f (0 K): 0.054 eV per atom
- Calculated density: 11.257 Mg/m³

(8)
Material: Na2Sr4Au
Method: DFT, PBE-GGA
State: relaxed

Lattice parameters (Å, degrees): 9.798 9.798 7.313 102.59 102.59 27.24
Positions (direct):
Na (0.228, 0.228, 0.334)
Na (0.772, 0.772, 0.666)
Sr (0.134, 0.134, 0.820)
Sr (0.437, 0.437, 0.720)
Sr (0.563, 0.563, 0.280)
Sr (0.866, 0.866, 0.180)
Au (0.000, 0.000, 0.000)

Summary:
- Space-group type: C2/m
- Energy above the lowest structure with this stoichiometry: 0 meV per atom
- D(E_F): 5.57 states/eV/cell
- Magnetization: 0.00 Bohr magnetons per cell
- ΔH_f (0 K): -0.212 eV per atom
- Calculated density: 3.146 Mg/m³

(9)
Material: CdSnP2S
Method: DFT, PBE-GGA
State: relaxed

Lattice parameters (Å, degrees): 5.094 5.094 5.016 90.00 90.00 90.00
Positions (direct):
Cd (0.000, 0.000, 0.000)
Sn (0.500, 0.500, 0.500)
P (0.000, 0.500, 0.500)
P (0.500, 0.000, 0.500)
S (0.500, 0.500, 0.000)

Summary:
- Space-group type: P4/mmm
- E_form (uncorrected): 0.840 eV/atom
- Energy above the lowest structure with this stoichiometry: 0 meV per atom
- D(E_F): 4.85 states/eV/cell
- Magnetization: 1.20 Bohr magnetons per cell
- Calculated density: 4.148 Mg/m³

(10)
Material: Li5Ag4Ge
Method: DFT, PBE-GGA
State: relaxed

Lattice parameters (Å, degrees): 3.121 3.121 16.225 90.00 90.00 90.00
Positions (direct):
Li (0.000, 0.000, 0.000)
Li (0.000, 0.000, 0.202)
Li (0.000, 0.000, 0.405)
Li (0.000, 0.000, 0.595)
Li (0.000, 0.000, 0.798)
Ag (0.500, 0.500, 0.102)
Ag (0.500, 0.500, 0.304)
Ag (0.500, 0.500, 0.696)
Ag (0.500, 0.500, 0.898)
Ge (0.500, 0.500, 0.500)

Summary:
- Space-group type: P4/mmm
- D(E_F): 2.69 states/eV/cell
- Magnetization: 0.00 Bohr magnetons per cell
- ΔH_f (0 K): -0.223 eV per atom
- Calculated density: 5.663 Mg/m³

(11)
Material: ScZnPCl2
Method: DFT, PBE-GGA
State: relaxed

Lattice parameters (Å, degrees): 4.549 4.549 5.284 90.00 90.00 90.00
Positions (direct):
Sc (0.000, 0.000, 0.000)
Zn (0.500, 0.500, 0.500)
P (0.500, 0.500, 0.000)
Cl (0.000, 0.500, 0.500)
Cl (0.500, 0.000, 0.500)

Summary:
- Space-group type: P4/mmm
- E_form (uncorrected): -0.325 eV/atom
- Energy above the lowest structure with this stoichiometry: 344 meV per atom
- D(E_F): 0.66 states/eV/cell
- Magnetization: 0.00 Bohr magnetons per cell
- Calculated density: 3.224 Mg/m³

(12)
Material: Zr2TaCl
Method: DFT, PBE-GGA
State: relaxed

Lattice parameters (Å, degrees): 3.093 3.093 8.918 90.00 90.00 108.43
Positions (direct):
Zr (0.000, 0.000, 0.249)
Zr (0.000, 0.000, 0.751)
Ta (0.500, 0.500, 0.500)
Cl (0.500, 0.500, 0.000)

Summary:
- Space-group type: Cmmm
- E_form (uncorrected): -0.290 eV/atom
- Energy above the lowest structure with this stoichiometry: 125 meV per atom
- D(E_F): 4.33 states/eV/cell
- Magnetization: 0.00 Bohr magnetons per cell
- Calculated density: 8.183 Mg/m³

(13)
Material: TbSc3Sn
Method: DFT, PBE-GGA
State: relaxed

Lattice parameters (Å, degrees): 9.679 9.679 5.298 90.00 90.00 145.24
Positions (direct):
Tb (0.067, 0.933, 0.750)
Tb (0.933, 0.067, 0.250)
Sc (0.049, 0.472, 0.250)
Sc (0.472, 0.049, 0.750)
Sc (0.500, 0.500, 0.000)
Sc (0.500, 0.500, 0.500)
Sc (0.528, 0.951, 0.250)
Sc (0.951, 0.528, 0.750)
Sn (0.355, 0.645, 0.750)
Sn (0.645, 0.355, 0.250)

Summary:
- Space-group type: Cmcm
- D(E_F): 16.14 states/eV/cell
- Magnetization: 0.05 Bohr magnetons per cell
- ΔH_f (0 K): 0.307 eV per atom
- Calculated density: 4.841 Mg/m³

(14)
Material: Tl2CoCu
Method: DFT, PBE-GGA
State: relaxed

Lattice parameters (Å, degrees): 3.650 4.098 5.386 90.00 109.31 90.00
Positions (direct):
Tl (0.000, 0.000, 0.000)
Tl (0.295, 0.500, 0.592)
Co (0.571, 0.500, 0.146)
Cu (0.714, 0.000, 0.429)

Summary:
- Space-group type: Pm
- Energy above the lowest structure with this stoichiometry: 0 meV per atom
- D(E_F): 2.91 states/eV/cell
- Magnetization: 1.20 Bohr magnetons per cell
- ΔH_f (0 K): 0.408 eV per atom
- Calculated density: 11.601 Mg/m³

(15)
Material: TcTePb2
Method: DFT, PBE-GGA
State: relaxed

Lattice parameters (Å, degrees): 4.381 4.381 5.446 90.00 90.00 90.00
Positions (direct):
Tc (0.000, 0.000, 0.000)
Te (0.500, 0.500, 0.000)
Pb (0.000, 0.500, 0.500)
Pb (0.500, 0.000, 0.500)

Summary:
- Space-group type: P4/mmm
- E_form (uncorrected): 0.687 eV/atom
- D(E_F): 3.23 states/eV/cell
- Magnetization: 2.67 Bohr magnetons per cell
- Calculated density: 10.166 Mg/m³

(16)
Material: Mg3ZrTa
Method: DFT, PBE-GGA
State: relaxed

Lattice parameters (Å, degrees): 5.122 5.122 5.122 90.00 90.00 90.00
Positions (direct):
Mg (0.000, 0.000, 0.500)
Mg (0.000, 0.500, 0.000)
Mg (0.500, 0.000, 0.000)
Zr (0.500, 0.500, 0.500)
Ta (0.000, 0.000, 0.000)

Summary:
- Space-group type: Pm-3m
- Energy above the lowest structure with this stoichiometry: 0 meV per atom
- D(E_F): 4.09 states/eV/cell
- Magnetization: 1.49 Bohr magnetons per cell
- ΔH_f (0 K): 1.393 eV per atom
- Calculated density: 4.263 Mg/m³

(17)
Material: MgHg2PH
Method: DFT, PBE-GGA
State: relaxed

Lattice parameters (Å, degrees): 5.407 5.407 3.251 90.00 90.00 90.00
Positions (direct):
Mg (0.000, 0.000, 0.000)
Hg (0.000, 0.500, 0.500)
Hg (0.500, 0.000, 0.500)
P (0.500, 0.500, 0.500)
H (0.500, 0.500, 0.000)

Summary:
- Space-group type: P4/mmm
- Total DFT energy (no corrections): -0.0742 Ha/atom
- D(E_F): 1.53 states/eV/cell
- Magnetization: 0.00 Bohr magnetons per cell
- Calculated density: 7.994 Mg/m³

(18)
Material: ErZnCuP2
Method: DFT, PBE-GGA
State: relaxed

Lattice parameters (Å, degrees): 3.960 3.960 6.508 90.00 90.00 120.00
Positions (direct):
Er (0.000, 0.000, 0.000)
Zn (0.333, 0.667, 0.391)
Cu (0.667, 0.333, 0.658)
P (0.333, 0.667, 0.763)
P (0.667, 0.333, 0.267)

Summary:
- Space-group type: P3m1
- D(E_F): 0.22 states/eV/cell
- Magnetization: 0.00 Bohr magnetons per cell
- ΔH_f (0 K): -0.765 eV per atom
- Calculated density: 6.730 Mg/m³

(19)
Material: CaTaAg
Method: DFT, PBE-GGA
State: relaxed

Lattice parameters (Å, degrees): 3.502 3.502 11.225 90.00 90.00 90.00
Positions (direct):
Ca (0.000, 0.000, 0.000)
Ca (0.000, 0.000, 0.357)
Ta (0.000, 0.000, 0.664)
Ta (0.500, 0.500, 0.557)
Ag (0.500, 0.500, 0.179)
Ag (0.500, 0.500, 0.821)

Summary:
- Space-group type: P4mm
- Energy above the lowest structure with this stoichiometry: 0 meV per atom
- D(E_F): 4.01 states/eV/cell
- Magnetization: 0.00 Bohr magnetons per cell
- ΔH_f (0 K): 0.124 eV per atom
- Calculated density: 7.933 Mg/m³

(20)
Material: KRuRh
Method: DFT, PBE-GGA
State: relaxed

Lattice parameters (Å, degrees): 4.535 4.535 7.400 90.14 90.14 81.82
Positions (direct):
K (0.247, 0.247, 0.357)
K (0.753, 0.753, 0.643)
Ru (0.286, 0.714, 0.000)
Ru (0.714, 0.286, 0.000)
Rh (0.210, 0.210, 0.871)
Rh (0.790, 0.790, 0.129)

Summary:
- Space-group type: C2/m
- Energy above the lowest structure with this stoichiometry: 0 meV per atom
- D(E_F): 4.79 states/eV/cell
- Magnetization: 0.00 Bohr magnetons per cell
- ΔH_f (0 K): 0.484 eV per atom
- Calculated density: 5.358 Mg/m³

(21)
Material: Na2YCuF6
Method: DFT, PBE-GGA
State: relaxed

Lattice parameters (Å, degrees): 5.784 5.531 11.403 90.00 120.34 90.00
Positions (direct):
Na (0.212, 0.001, 0.213)
Na (0.212, 0.499, 0.713)
Na (0.788, 0.501, 0.287)
Na (0.788, 0.999, 0.787)
Y (0.500, 0.000, 0.000)
Y (0.500, 0.500, 0.500)
Cu (0.000, 0.000, 0.500)
Cu (0.000, 0.500, 0.000)
F (0.171, 0.212, 0.999)
F (0.171, 0.288, 0.499)
F (0.175, 0.718, 0.345)
F (0.175, 0.782, 0.845)
F (0.488, 0.715, 0.657)
F (0.488, 0.785, 0.157)
F (0.512, 0.215, 0.843)
F (0.512, 0.285, 0.343)
F (0.825, 0.218, 0.155)
F (0.825, 0.282, 0.655)
F (0.829, 0.712, 0.501)
F (0.829, 0.788, 0.001)

Summary:
- Space-group type: P2_1/c
- E_form (uncorrected): -2.911 eV/atom
- Energy above the lowest structure with this stoichiometry: 0 meV per atom
- D(E_F): 0.00 states/eV/cell
- Magnetization: 0.15 Bohr magnetons per cell
- Calculated density: 3.296 Mg/m³

(22)
Material: Rb2CaTaS4
Method: DFT, PBE-GGA
State: relaxed

Lattice parameters (Å, degrees): 7.029 7.029 7.029 114.78 114.78 99.31
Positions (direct):
Rb (0.000, 0.000, 0.000)
Rb (0.750, 0.250, 0.500)
Ca (0.500, 0.500, 0.000)
Ta (0.250, 0.750, 0.500)
S (0.205, 0.091, 0.562)
S (0.358, 0.795, 0.886)
S (0.529, 0.642, 0.438)
S (0.909, 0.471, 0.114)

Summary:
- Space-group type: I-4
- E_form (uncorrected): -1.228 eV/atom
- D(E_F): 2.50 states/eV/cell
- Magnetization: 1.02 Bohr magnetons per cell
- Calculated density: 3.308 Mg/m³

(23)
Material: Zr2Mn3Tc
Method: DFT, PBE-GGA
State: relaxed

Lattice parameters (Å, degrees): 5.106 5.106 8.173 90.00 90.00 120.00
Positions (direct):
Zr (0.333, 0.667, 0.062)
Zr (0.333, 0.667, 0.438)
Zr (0.667, 0.333, 0.562)
Zr (0.667, 0.333, 0.938)
Mn (0.171, 0.342, 0.750)
Mn (0.171, 0.829, 0.750)
Mn (0.342, 0.171, 0.250)
Mn (0.658, 0.829, 0.750)
Mn (0.829, 0.171, 0.250)
Mn (0.829, 0.658, 0.250)
Tc (0.000, 0.000, 0.000)
Tc (0.000, 0.000, 0.500)

Summary:
- Space-group type: P6_3/mmc
- D(E_F): 15.26 states/eV/cell
- Magnetization: 7.05 Bohr magnetons per cell
- ΔH_f (0 K): -0.219 eV per atom
- Calculated density: 8.014 Mg/m³